## Na2As2N (GGA-PBEsol)

Data for crystalline Na2As2N at its relaxed geometry.

Results
ΔE_f (raw) in meV/atom: 405
Total energy in eV/atom: -3.903
Calculated volume in A^3/atom: 17.721
Fermi-level density of states in states/eV/f.u.: 2.51

POSCAR file:
```
Na2As2N
1.0
-0.141 -3.498 3.195
-2.563 -3.687 -4.150
5.549 -1.851 -1.782
Na As N
4 4 2
direct
0.500 0.170 0.670
0.500 0.670 0.830
0.500 0.830 0.330
0.500 0.330 0.170
0.000 0.350 0.850
0.000 0.850 0.650
0.000 0.650 0.150
0.000 0.150 0.350
0.000 0.000 0.000
0.000 0.500 0.500
```

***

## TlRu3 (GGA-PBEsol)

Data for crystalline TlRu3 at its relaxed geometry.

Results
Energy above the lowest structure with this stoichiometry in kJ/mol of atoms: 0.0
Total energy in eV/atom: -7.809
ΔE_f in meV per atom: 478
Calculated volume in A^3/atom: 15.282
Fermi-level density of states in states/eV/f.u.: 3.72

POSCAR file:
```
TlRu3
1.0
2.834 0.000 0.000
-1.417 2.454 0.000
0.000 0.000 8.788
Ru Tl
3 1
direct
0.000 0.000 0.228
0.000 0.000 0.772
0.333 0.667 0.000
0.333 0.667 0.500
```

***

## LiTc2Hg (GGA-PBEsol)

Data for crystalline LiTc2Hg at its relaxed geometry.

Results
Total energy in eV/atom: -5.966
ΔE_f in meV per atom: 301
Calculated volume in A^3/atom: 14.756
Fermi-level density of states in states/eV/f.u.: 3.39

POSCAR file:
```
LiTc2Hg
1.0
-0.053 0.890 -3.081
-2.641 -2.855 -0.780
-3.461 2.952 0.913
Hg Li Tc
1 1 2
direct
0.500 0.000 0.500
0.000 0.500 0.500
0.000 0.000 0.000
0.500 0.500 0.000
```

***

## ReRu2Pt (GGA-PBEsol)

Data for crystalline ReRu2Pt at its relaxed geometry.

Results
Energy above the lowest structure with this stoichiometry in kJ/mol of atoms: 0.0
Total energy in eV/atom: -10.177
ΔE_f in meV per atom: -17
Calculated volume in A^3/atom: 14.034
Fermi-level density of states in states/eV/f.u.: 3.68

POSCAR file:
```
ReRu2Pt
1.0
-0.067 0.299 -2.685
0.061 -2.685 -0.300
-7.683 -0.193 0.169
Re Pt Ru
1 1 2
direct
0.500 0.500 0.500
0.500 0.500 0.000
0.000 0.000 0.742
0.000 0.000 0.258
```